# TbSmMgBe | the Alexandria database | GGA-PBE | optimized geometry
data_TbSmMgBe
_cell_length_a 7.272
_cell_length_b 7.272
_cell_length_c 7.272
_cell_angle_alpha 90.00
_cell_angle_beta 90.00
_cell_angle_gamma 90.00
_symmetry_space_group_name_H-M 'F -4 3 m'
_symmetry_Int_Tables_number 216
_symmetry_space_group_name_Hall 'F -4 2 3'
loop_
_atom_site_label
_atom_site_type_symbol
_atom_site_fract_x
_atom_site_fract_y
_atom_site_fract_z
Tb1 Tb 0.000 0.000 0.000
Sm1 Sm 0.000 0.000 0.500
Mg1 Mg 0.250 0.250 0.250
Be1 Be 0.250 0.250 0.750
# - Electronic total energy: -3.568 eV per atom
# - Energy of formation: 0.10 eV/atom